# 1
A relaxed RbMnPbCl5 crystal. Source: the Alexandria database, functional PBE.

Cell and atoms, written as POSCAR:
```
RbMnPbCl5
1.0
7.844 0.002 -0.060
-2.288 7.503 -0.060
-2.377 -3.211 9.468
Cl Mn Rb Pb
10 2 2 2
Direct
0.743 0.602 0.426 Cl
0.673 0.093 0.371 Cl
0.398 0.257 0.074 Cl
0.093 0.673 0.871 Cl
0.602 0.743 0.926 Cl
0.093 0.907 0.250 Cl
0.327 0.907 0.629 Cl
0.257 0.398 0.574 Cl
0.907 0.093 0.750 Cl
0.907 0.327 0.129 Cl
0.685 0.315 0.250 Mn
0.315 0.685 0.750 Mn
0.652 0.348 0.750 Rb
0.348 0.652 0.250 Rb
0.000 0.000 0.000 Pb
0.000 0.000 0.500 Pb
```

Computed properties:
Formation energy from raw total energies: -1351 meV per atom
Raw total energy: -4.24 eV/atom



# 2
A relaxed KWSe2 crystal. Source: the Alexandria database, functional PBE.

Cell and atoms, written as POSCAR:
```
KWSe2
1.0
-2.497 -2.243 5.062
3.142 -0.776 5.139
-1.036 4.206 -4.258
Se W K
2 1 1
Direct
0.000 0.000 0.000 Se
0.250 0.750 0.500 Se
0.500 0.500 0.000 W
0.750 0.250 0.500 K
```

Computed properties:
Formation energy from raw total energies: 758 meV per atom
Raw total energy: -4.50 eV/atom



# 3
A relaxed KRuRhS3 crystal. Source: the Alexandria database, functional PBE.

Cell and atoms, written as POSCAR:
```
KRuRhS3
1.0
-0.540 1.365 3.236
5.072 -5.485 3.161
4.418 8.110 -2.685
K S Rh Ru
2 6 2 2
Direct
0.250 0.233 0.237 K
0.750 0.767 0.763 K
0.750 0.876 0.137 S
0.250 0.124 0.863 S
0.250 0.801 0.491 S
0.750 0.199 0.509 S
0.750 0.484 0.132 S
0.250 0.516 0.868 S
0.250 0.684 0.137 Rh
0.750 0.316 0.863 Rh
0.750 0.894 0.385 Ru
0.250 0.106 0.615 Ru
```

Computed properties:
Formation energy from raw total energies: -559 meV per atom
Raw total energy: -5.58 eV/atom



# 4
A relaxed MnSe2Cl crystal. Source: the Alexandria database, functional PBE.

Cell and atoms, written as POSCAR:
```
MnSe2Cl
1.0
2.147 0.000 7.691
-1.074 1.860 7.691
-1.074 -1.860 7.691
Se Cl Mn
2 1 1
Direct
0.110 0.110 0.110 Se
0.890 0.890 0.890 Se
0.000 0.000 0.000 Cl
0.500 0.500 0.500 Mn
```

Computed properties:
Formation energy from raw total energies: -334 meV per atom
Raw total energy: -4.83 eV/atom